[1]
Material: Pr4Sm2N
Method: DFT, GGA-PBE
State: optimized geometry

a = 5.056 Å, b = 5.056 Å, c = 9.625 Å
α = 74.77°, β = 74.77°, γ = 90.00°
Sites, in units of the cell vectors:
Pr (0.864, 0.864, 0.272)
Pr (0.136, 0.136, 0.728)
Pr (0.000, 0.500, 0.000)
Pr (0.500, 0.000, 0.000)
Sm (0.667, 0.667, 0.666)
Sm (0.333, 0.333, 0.334)
N (0.000, 0.000, 0.000)

Properties
* DOS at the Fermi energy: 1.2446 states/eV/atom
* ΔE_f (raw): -0.18 eV per atom
* final energy: -38.141 eV/cell
* total moment: 0.00 μB/atom

[2]
Material: Pr4SmN5
Method: DFT, GGA-PBE
State: optimized geometry

a = 5.239 Å, b = 6.349 Å, c = 6.349 Å
α = 80.20°, β = 65.63°, γ = 65.63°
Sites, in units of the cell vectors:
Pr (0.411, 0.400, 0.801)
Pr (0.811, 0.801, 0.600)
Pr (0.213, 0.199, 0.400)
Pr (0.613, 0.600, 0.199)
Sm (0.015, 0.000, 0.000)
N (0.893, 0.395, 0.803)
N (0.287, 0.803, 0.605)
N (0.695, 0.197, 0.395)
N (0.090, 0.605, 0.197)
N (0.481, 0.000, 0.000)

Properties
* DOS at the Fermi energy: 0.0991 states/eV/atom
* ΔE_f (raw): -1.32 eV per atom
* final energy: -78.714 eV/cell
* total moment: 0.00 μB/atom

[3]
Material: Pr3SmN3
Method: DFT, GGA-PBE
State: optimized geometry

a = 8.244 Å, b = 6.807 Å, c = 6.807 Å
α = 113.14°, β = 97.89°, γ = 97.89°
Sites, in units of the cell vectors:
Pr (0.640, 0.686, 0.686)
Pr (0.500, 0.787, 0.213)
Pr (0.500, 0.213, 0.787)
Pr (0.000, 0.841, 0.159)
Pr (0.000, 0.159, 0.841)
Pr (0.360, 0.314, 0.314)
Sm (0.212, 0.693, 0.693)
Sm (0.788, 0.307, 0.307)
N (0.806, 0.997, 0.997)
N (0.414, 0.541, 0.803)
N (0.414, 0.803, 0.541)
N (0.586, 0.459, 0.197)
N (0.586, 0.197, 0.459)
N (0.194, 0.003, 0.003)

Properties
* DOS at the Fermi energy: 0.4590 states/eV/atom
* ΔE_f (raw): -0.88 eV per atom
* final energy: -100.347 eV/cell
* total moment: 0.00 μB/atom

Repeat the second record exactly.
Material: Pr4SmN5
Method: DFT, GGA-PBE
State: optimized geometry

a = 5.239 Å, b = 6.349 Å, c = 6.349 Å
α = 80.20°, β = 65.63°, γ = 65.63°
Sites, in units of the cell vectors:
Pr (0.411, 0.400, 0.801)
Pr (0.811, 0.801, 0.600)
Pr (0.213, 0.199, 0.400)
Pr (0.613, 0.600, 0.199)
Sm (0.015, 0.000, 0.000)
N (0.893, 0.395, 0.803)
N (0.287, 0.803, 0.605)
N (0.695, 0.197, 0.395)
N (0.090, 0.605, 0.197)
N (0.481, 0.000, 0.000)

Properties
* DOS at the Fermi energy: 0.0991 states/eV/atom
* ΔE_f (raw): -1.32 eV per atom
* final energy: -78.714 eV/cell
* total moment: 0.00 μB/atom